No. 1
Here is crystalline Ac5TlZn2 at its relaxed geometry from Alexandria via LeMat-Bulk. Energies are from GGA-PBE.

## Properties
- Magnetization: 0.000 μB/atom
- Formation energy from the elements: -0.2042 eV per atom

Unit cell a=8.1765 b=8.1765 c=16.9886 alpha=90.00 beta=90.00 gamma=90.00
Closest atoms and distances in Å follow each position.
Space group I4/mcm (No. 140)
One atom of each set of equivalent atoms:
Ac 0.0000 0.0000 0.0000 x4  4 Zn 3.29
Ac 0.1703 0.3297 0.1458 x16  3 Zn 3.43-3.51, 2 Tl 3.51
Tl 0.0000 0.0000 0.2500 x4  8 Ac 3.51
Zn 0.1144 0.3856 0.5000 x8  1 Zn 2.65

---

No. 2
Here is crystalline AcTlZn2 at its relaxed geometry from Alexandria via LeMat-Bulk. Energies are from GGA-PBE.

## Properties
- Magnetization: 0.000 μB/atom
- Formation energy from the elements: -0.1219 eV per atom

Unit cell a=4.9848 b=4.9848 c=4.2878 alpha=90.00 beta=90.00 gamma=90.00
Closest atoms and distances in Å follow each position.
Space group P4/mmm (No. 123)
One atom of each set of equivalent atoms:
Ac 0.0000 0.0000 0.0000 x1  8 Zn 3.29, 4 Tl 3.52
Tl 0.5000 0.5000 0.0000 x1  8 Zn 3.29, 4 Ac 3.52
Zn 0.0000 0.5000 0.5000 x2  4 Ac 3.29, 4 Tl 3.29, 4 Zn 3.52

---

No. 3
Here is crystalline Ac2Tl3Zn2 at its relaxed geometry from Alexandria via LeMat-Bulk. Energies are from GGA-PBE.

## Properties
- Magnetization: 0.000 μB/atom
- Formation energy from the elements: -0.2353 eV per atom

Unit cell a=11.3248 b=4.6796 c=8.1657 alpha=90.00 beta=111.96 gamma=90.00
Closest atoms and distances in Å follow each position.
Space group C2/m (No. 12)
One atom of each set of equivalent atoms:
Ac 0.1381 0.0000 0.2892 x4  4 Zn 3.28-3.39, 4 Tl 3.59-3.62
Tl 0.0000 0.5000 0.5000 x2  4 Zn 3.08, 2 Tl 3.37
Tl 0.1277 0.5000 0.9453 x4  3 Zn 2.91-3.11
Zn 0.1607 0.0000 0.7152 x4  5 Tl 2.91-3.11

---

No. 4
Here is crystalline Ac8Tl2Zn at its relaxed geometry from Alexandria via LeMat-Bulk. Energies are from GGA-PBE.

## Properties
- Magnetization: 0.000 μB/atom
- Formation energy from the elements: -0.1304 eV per atom

Unit cell a=20.6310 b=5.6661 c=7.5202 alpha=90.00 beta=103.08 gamma=90.00
Closest atoms and distances in Å follow each position.
Space group C2/m (No. 12)
One atom of each set of equivalent atoms:
Ac 0.0169 0.0000 0.2736 x4  2 Zn 3.36, 1 Tl 3.50, 1 Ac 3.63
Ac 0.0906 0.5000 0.9595 x4  1 Zn 3.54, 4 Ac 3.78-3.92, 2 Tl 3.83
Ac 0.1541 0.5000 0.4786 x4  1 Zn 3.22, 3 Tl 3.44-3.49
Ac 0.2070 0.0000 0.8134 x4  3 Tl 3.42-3.71, 2 Ac 3.78
Tl 0.1846 0.0000 0.2505 x4  9 Ac 3.42-3.83
Zn 0.0000 0.5000 0.5000 x2  8 Ac 3.22-3.54

---

No. 5
Here is crystalline Ac3TlZn2 at its relaxed geometry from Alexandria via LeMat-Bulk. Energies are from GGA-PBE.

## Properties
- Magnetization: 0.000 μB/atom
- Formation energy from the elements: -0.2780 eV per atom

Unit cell a=3.9299 b=3.9299 c=12.2753 alpha=90.00 beta=90.00 gamma=90.00
Closest atoms and distances in Å follow each position.
Space group P4/mmm (No. 123)
One atom of each set of equivalent atoms:
Ac 0.0000 0.0000 0.0000 x1  8 Zn 3.37
Ac 0.0000 0.0000 0.3139 x2  4 Zn 3.39, 4 Tl 3.60
Tl 0.5000 0.5000 0.5000 x1  8 Ac 3.60, 4 Tl 3.93
Zn 0.5000 0.5000 0.1553 x2  8 Ac 3.37-3.39

---

No. 6
Here is crystalline Ac2TlZn6 at its relaxed geometry from Alexandria via LeMat-Bulk. Energies are from GGA-PBE.

## Properties
- Magnetization: 0.000 μB/atom
- Formation energy from the elements: -0.2401 eV per atom

Unit cell a=6.2101 b=6.2101 c=6.0783 alpha=90.00 beta=90.00 gamma=120.00
Closest atoms and distances in Å follow each position.
Space group P-3m1 (No. 164)
One atom of each set of equivalent atoms:
Ac 0.3333 0.6667 0.1605 x2  12 Zn 3.33-3.54, 3 Tl 3.72
Tl 0.0000 0.0000 0.0000 x1  6 Zn 2.93
Zn 0.1831 0.3661 0.6429 x6  4 Zn 2.63-2.80, 1 Tl 2.93

---

No. 7
Here is crystalline AcTlZn at its relaxed geometry from Alexandria via LeMat-Bulk. Energies are from GGA-PBE.

## Properties
- Magnetization: 0.000 μB/atom
- Formation energy from the elements: -0.1447 eV per atom

Unit cell a=3.7984 b=3.7984 c=12.0692 alpha=90.00 beta=90.00 gamma=90.00
Closest atoms and distances in Å follow each position.
Space group P4/nmm (No. 129, origin choice 2)
One atom of each set of equivalent atoms:
Ac 0.2500 0.2500 0.2195 x2  5 Zn 3.31-3.34, 4 Tl 3.61
Tl 0.2500 0.2500 0.5805 x2  4 Tl 3.31, 4 Ac 3.61
Zn 0.2500 0.2500 0.9453 x2  4 Zn 2.99, 5 Ac 3.31-3.34

---

No. 8
Here is crystalline Ac3TlZn at its relaxed geometry from Alexandria via LeMat-Bulk. Energies are from GGA-PBE.

## Properties
- Magnetization: 0.112 μB/atom
- Formation energy from the elements: -0.1657 eV per atom

Unit cell a=8.0602 b=8.0602 c=8.0602 alpha=90.00 beta=90.00 gamma=90.00
Closest atoms and distances in Å follow each position.
Space group Pm-3m (No. 221)
One atom of each set of equivalent atoms:
Ac 0.0000 0.0000 0.0000 x1  8 Ac 3.71, 6 Tl 4.03
Ac 0.2658 0.2658 0.2658 x8  3 Zn 3.42, 3 Tl 3.57, 4 Ac 3.71-3.78
Tl 0.0000 0.0000 0.5000 x3  8 Ac 3.57
Zn 0.0000 0.5000 0.5000 x3  8 Ac 3.42

---

No. 9
Here is crystalline Ac2Tl2Zn3 at its relaxed geometry from Alexandria via LeMat-Bulk. Energies are from GGA-PBE.

## Properties
- Magnetization: 0.000 μB/atom
- Formation energy from the elements: -0.2735 eV per atom

Unit cell a=11.7295 b=4.8380 c=7.0931 alpha=90.00 beta=111.10 gamma=90.00
Closest atoms and distances in Å follow each position.
Space group C2/m (No. 12)
One atom of each set of equivalent atoms:
Ac 0.1442 0.0000 0.2656 x4  5 Tl 3.40-3.56, 6 Zn 3.40-3.67
Tl 0.1618 0.0000 0.7751 x4  3 Zn 2.89-3.13
Zn 0.0000 0.5000 0.5000 x2  2 Zn 2.65
Zn 0.0735 0.5000 0.9000 x4  2 Zn 2.60-2.65, 2 Tl 2.89

---

No. 10
Here is crystalline Ac4Tl2Zn at its relaxed geometry from Alexandria via LeMat-Bulk. Energies are from GGA-PBE.

## Properties
- Magnetization: 0.000 μB/atom
- Formation energy from the elements: -0.1445 eV per atom

Unit cell a=18.7380 b=4.0683 c=7.5915 alpha=90.00 beta=113.40 gamma=90.00
Closest atoms and distances in Å follow each position.
Space group C2/m (No. 12)
One atom of each set of equivalent atoms:
Ac 0.0891 0.0000 0.4380 x4  1 Zn 3.07
Ac 0.1257 0.5000 0.9466 x4  2 Zn 3.26, 3 Tl 3.53-3.62
Tl 0.2481 0.5000 0.6792 x4  2 Tl 3.42, 6 Ac 3.47-3.62
Zn 0.0000 0.0000 0.0000 x2  6 Ac 3.07-3.26

---

No. 11
Here is crystalline Ac3TlZn3 at its relaxed geometry from Alexandria via LeMat-Bulk. Energies are from GGA-PBE.

## Properties
- Magnetization: 0.000 μB/atom
- Formation energy from the elements: -0.2518 eV per atom

Unit cell a=11.4685 b=4.8907 c=15.7759 alpha=90.00 beta=110.28 gamma=90.00
Closest atoms and distances in Å follow each position.
Space group C2/m (No. 12)
One atom of each set of equivalent atoms:
Ac 0.0399 0.0000 0.3809 x4  4 Tl 3.38-3.54, 7 Zn 3.38-3.64
Ac 0.1070 0.0000 0.9248 x4  7 Zn 3.37-3.42
Ac 0.2488 0.0000 0.2193 x4  6 Zn 3.33-3.59, 2 Tl 3.69
Tl 0.2485 0.5000 0.3941 x4  4 Zn 2.87-3.10
Zn 0.0408 0.5000 0.2237 x4  1 Zn 2.66, 1 Tl 2.91
Zn 0.0989 0.5000 0.0742 x4  2 Zn 2.64-2.66
Zn 0.1217 0.5000 0.5387 x4  1 Zn 2.63, 2 Tl 2.87

---

No. 12
Here is crystalline Ac6Tl5Zn at its relaxed geometry from Alexandria via LeMat-Bulk. Energies are from GGA-PBE.

## Properties
- Magnetization: 0.000 μB/atom
- Formation energy from the elements: -0.3263 eV per atom

Unit cell a=5.8255 b=8.1529 c=9.2078 alpha=90.00 beta=108.37 gamma=90.00
Closest atoms and distances in Å follow each position.
Space group P2/m (No. 10)
One atom of each set of equivalent atoms:
Ac 0.0000 0.2423 0.0000 x2  6 Tl 3.50-3.62, 2 Zn 3.52
Ac 0.3367 0.2441 0.6734 x4  1 Zn 3.48, 7 Tl 3.53-3.60
Tl 0.1656 0.0000 0.3313 x2  8 Ac 3.50-3.59
Tl 0.1685 0.5000 0.3370 x2  8 Ac 3.58-3.62
Tl 0.5000 0.5000 0.0000 x1  8 Ac 3.54-3.59
Zn 0.5000 0.0000 0.0000 x1  8 Ac 3.48-3.52

---

No. 13
Here is crystalline Ac8Tl5Zn at its relaxed geometry from Alexandria via LeMat-Bulk. Energies are from GGA-PBE.

## Properties
- Magnetization: 0.000 μB/atom
- Formation energy from the elements: -0.2372 eV per atom

Unit cell a=10.1229 b=10.1229 c=10.1878 alpha=90.00 beta=90.00 gamma=90.00
Closest atoms and distances in Å follow each position.
Space group I-4 (No. 82)
One atom of each set of equivalent atoms:
Ac 0.0722 0.1838 0.2996 x8  1 Zn 3.32, 5 Tl 3.40-3.66
Ac 0.0742 0.3239 0.9494 x8  5 Tl 3.40-3.63, 1 Zn 3.62
Tl 0.0000 0.0000 0.0000 x2  8 Ac 3.40-3.65
Tl 0.1222 0.2490 0.6250 x8  8 Ac 3.40-3.66
Zn 0.0000 0.5000 0.2500 x2  8 Ac 3.32-3.62

---

No. 14
Here is crystalline Ac2TlZn2 at its relaxed geometry from Alexandria via LeMat-Bulk. Energies are from GGA-PBE.

## Properties
- Magnetization: 0.000 μB/atom
- Formation energy from the elements: -0.2875 eV per atom

Unit cell a=7.6658 b=7.6658 c=4.9256 alpha=90.00 beta=90.00 gamma=90.00
Closest atoms and distances in Å follow each position.
Space group P4/mbm (No. 127)
One atom of each set of equivalent atoms:
Ac 0.1776 0.3224 0.0000 x4  6 Zn 3.30-3.39
Tl 0.0000 0.0000 0.5000 x2  4 Zn 3.05
Zn 0.1200 0.6200 0.5000 x4  1 Zn 2.60

---

No. 15
Here is crystalline Ac3Tl3Zn8 at its relaxed geometry from Alexandria via LeMat-Bulk. Energies are from GGA-PBE.

## Properties
- Magnetization: 0.000 μB/atom
- Formation energy from the elements: -0.2556 eV per atom

Unit cell a=4.7095 b=9.9359 c=14.2824 alpha=90.00 beta=90.00 gamma=90.00
Closest atoms and distances in Å follow each position.
Space group Immm (No. 71)
One atom of each set of equivalent atoms:
Ac 0.0000 0.0000 0.0000 x2  12 Zn 3.44-3.58, 4 Tl 3.61
Ac 0.0000 0.0000 0.3064 x4  10 Zn 3.29-3.40, 4 Tl 3.55-3.63
Tl 0.0000 0.2246 0.5000 x4  2 Zn 2.79
Tl 0.0000 0.5000 0.0000 x2  4 Tl 3.24, 4 Zn 3.33, 4 Ac 3.63
Zn 0.0000 0.2576 0.1614 x8  3 Zn 2.68-2.71
Zn 0.0000 0.3716 0.3335 x8  4 Zn 2.55-2.71, 1 Tl 2.79

---

No. 16
Here is crystalline Ac4TlZn3 at its relaxed geometry from Alexandria via LeMat-Bulk. Energies are from GGA-PBE.

## Properties
- Magnetization: 0.000 μB/atom
- Formation energy from the elements: -0.2629 eV per atom

Unit cell a=5.5944 b=5.5944 c=27.6692 alpha=90.00 beta=90.00 gamma=120.00
Closest atoms and distances in Å follow each position.
Space group R-3m (No. 166, hexagonal axes)
One atom of each set of equivalent atoms:
Ac 0.0000 0.0000 0.1209 x6  5 Zn 3.35-3.57, 3 Tl 3.47
Ac 0.0000 0.0000 0.3708 x6  7 Zn 3.34-3.47, 1 Tl 3.58
Tl 0.0000 0.0000 0.5000 x3  8 Ac 3.47-3.58
Zn 0.0000 0.0000 0.0000 x3  8 Ac 3.35-3.39
Zn 0.0000 0.0000 0.2500 x6  8 Ac 3.34-3.57

---

No. 17
Here is crystalline Ac2Tl3Zn2 at its relaxed geometry from Alexandria via LeMat-Bulk. Energies are from GGA-PBE.

## Properties
- Magnetization: 0.000 μB/atom
- Formation energy from the elements: -0.2555 eV per atom

Unit cell a=11.7101 b=4.7720 c=7.2712 alpha=90.00 beta=98.92 gamma=90.00
Closest atoms and distances in Å follow each position.
Space group C2/m (No. 12)
One atom of each set of equivalent atoms:
Ac 0.1254 0.0000 0.3306 x4  5 Zn 3.37-3.46, 7 Tl 3.54-3.74
Tl 0.0000 0.5000 0.0000 x2  2 Zn 2.92
Tl 0.1898 0.0000 0.8505 x4  2 Zn 2.99
Zn 0.0848 0.5000 0.6425 x4  1 Zn 2.64, 1 Tl 2.92

---

No. 18
Here is crystalline AcTlZn at its relaxed geometry from Alexandria via LeMat-Bulk. Energies are from GGA-PBE.

## Properties
- Magnetization: 0.000 μB/atom
- Formation energy from the elements: -0.2740 eV per atom

Unit cell a=7.1525 b=7.1525 c=7.1525 alpha=90.00 beta=90.00 gamma=90.00
Closest atoms and distances in Å follow each position.
Space group F-43m (No. 216)
One atom of each set of equivalent atoms:
Ac 0.0000 0.0000 0.0000 x4  4 Zn 3.10
Tl 0.0000 0.0000 0.5000 x4  4 Zn 3.10
Zn 0.2500 0.2500 0.7500 x4  4 Ac 3.10, 4 Tl 3.10

---

No. 19
Here is crystalline AcTlZn2 at its relaxed geometry from Alexandria via LeMat-Bulk. Energies are from GGA-PBE.

## Properties
- Magnetization: 0.000 μB/atom
- Formation energy from the elements: -0.1017 eV per atom

Unit cell a=4.6319 b=5.8071 c=8.0130 alpha=90.00 beta=90.00 gamma=90.00
Closest atoms and distances in Å follow each position.
Space group Amm2 (No. 38)
One atom of each set of equivalent atoms:
Ac 0.0000 0.0000 0.0000 x2  5 Zn 3.01-3.30
Tl 0.5000 0.0000 0.3428 x2  5 Zn 2.92-3.10
Zn 0.0000 0.0000 0.5977 x2  2 Zn 2.48
Zn 0.5000 0.0000 0.7068 x2  2 Zn 2.48

---

No. 20
Here is crystalline AcTlZn2 at its relaxed geometry from Alexandria via LeMat-Bulk. Energies are from GGA-PBE.

## Properties
- Magnetization: 0.000 μB/atom
- Formation energy from the elements: -0.2790 eV per atom

Unit cell a=5.0188 b=11.3337 c=7.0089 alpha=90.00 beta=90.00 gamma=90.00
Closest atoms and distances in Å follow each position.
Space group Cmcm (No. 63)
One atom of each set of equivalent atoms:
Ac 0.0000 0.1025 0.2500 x4  10 Zn 3.33-3.69, 5 Tl 3.36-3.67
Tl 0.0000 0.2001 0.7500 x4  6 Zn 3.02-3.10, 2 Ac 3.36
Zn 0.0000 0.3937 0.0631 x8  2 Zn 2.57-2.62

---

No. 21
Here is crystalline Ac2TlZn3 at its relaxed geometry from Alexandria via LeMat-Bulk. Energies are from GGA-PBE.

## Properties
- Magnetization: 0.000 μB/atom
- Formation energy from the elements: -0.2927 eV per atom

Unit cell a=8.2513 b=9.6245 c=16.6099 alpha=90.00 beta=90.00 gamma=90.00
Closest atoms and distances in Å follow each position.
Space group Fmmm (No. 69)
One atom of each set of equivalent atoms:
Ac 0.2407 0.0000 0.0000 x8  10 Zn 3.34-3.52, 2 Tl 3.47
Ac 0.2500 0.2500 0.2500 x8  4 Tl 3.47, 8 Zn 3.49-3.50
Tl 0.0000 0.0000 0.3355 x8  3 Zn 2.84-2.88
Zn 0.0000 0.0000 0.1620 x8  2 Zn 2.71, 1 Tl 2.88
Zn 0.0000 0.2438 0.0800 x16  2 Zn 2.66-2.71, 1 Tl 2.84

---

No. 22
Here is crystalline Ac3Tl2Zn4 at its relaxed geometry from Alexandria via LeMat-Bulk. Energies are from GGA-PBE.

## Properties
- Magnetization: 0.000 μB/atom
- Formation energy from the elements: -0.3017 eV per atom

Unit cell a=11.6668 b=4.8695 c=9.3943 alpha=90.00 beta=110.10 gamma=90.00
Closest atoms and distances in Å follow each position.
Space group C2/m (No. 12)
One atom of each set of equivalent atoms:
Ac 0.0000 0.0000 0.0000 x2  8 Zn 3.41-3.68, 4 Tl 3.54
Ac 0.1628 0.5000 0.6753 x4  8 Zn 3.28-3.51, 4 Tl 3.43-3.53
Tl 0.1211 0.5000 0.2853 x4  3 Zn 2.87-2.90
Zn 0.0681 0.0000 0.4131 x4  1 Zn 2.64, 2 Tl 2.87
Zn 0.2216 0.5000 0.0424 x4  2 Zn 2.71, 1 Tl 2.90

---

Raw total energy, respectively: -3.386 -2.378 -2.787 -3.664 -3.151 -2.265 -2.728 -3.359 -2.669 -3.350 -2.897 -3.473 -3.521 -2.914 -2.371 -3.091 -2.807 -2.857 -2.357 -2.535 -2.694 -2.763 eV per atom.
Mass density, respectively: 8.6 8.8 9.9 8.9 8.9 8.6 9.5 9.0 9.4 8.6 8.7 9.8 9.2 9.1 9.0 8.7 9.9 9.0 8.7 9.4 8.6 9.0 Mg/m³.